The following is a DFT calculation (PBE) of a relaxed Dy3ThAg4 crystal.

Cell: 5.1690 7.3848 10.3356 Å, 90.00 90.00 90.00°
With the nearest neighbours (Å) after each atom.
Sites, in units of the cell vectors:
Ag 0.0007 0.7599 0.7500  6 Dy 3.13-3.22, 2 Th 3.22
Ag 0.5000 0.2401 0.0000  6 Dy 3.13-3.22, 2 Th 3.22
Ag 0.9993 0.7599 0.2500  6 Dy 3.13-3.22, 2 Th 3.22
Ag 0.0007 0.2401 0.7500  6 Dy 3.13-3.22, 2 Th 3.22
Ag 0.5000 0.7599 0.0000  6 Dy 3.13-3.22, 2 Th 3.22
Ag 0.5000 0.2401 0.5000  6 Dy 3.13-3.22, 2 Th 3.22
Ag 0.9993 0.2401 0.2500  6 Dy 3.13-3.22, 2 Th 3.22
Ag 0.5000 0.7599 0.5000  6 Dy 3.13-3.22, 2 Th 3.22
Th 0.0000 0.5000 0.0000  8 Ag 3.22
Th 0.0000 0.5000 0.5000  8 Ag 3.22
Dy 0.0000 0.0000 0.0000  8 Ag 3.13
Dy 0.0000 0.0000 0.5000  8 Ag 3.13
Dy 0.5003 0.5000 0.7500  8 Ag 3.22
Dy 0.5002 0.0000 0.7500  8 Ag 3.13-3.14
Dy 0.4997 0.5000 0.2500  8 Ag 3.22
Dy 0.4998 0.0000 0.2500  8 Ag 3.13-3.14

Computed properties:
- Formation energy from the elements: -227 meV per atom
- Total magnetization: 0.40 μB per formula unit
- Density of states at the Fermi level: 8.205 states/eV/f.u.

***

The following is a DFT calculation (PBE) of a relaxed Dy2ThAg crystal.

Cell: 3.5429 3.5429 10.7751 Å, 80.54 80.54 59.98°
With the nearest neighbours (Å) after each atom.
Sites, in units of the cell vectors:
Ag 0.6667 0.6667 0.0003  6 Dy 3.11-3.12
Th 0.5002 0.5002 0.4998  6 Th 3.54, 6 Dy 3.58
Dy 0.2593 0.2593 0.2224  3 Ag 3.11-3.12
Dy 0.0739 0.0739 0.7776  3 Ag 3.12

Computed properties:
- Formation energy from the elements: 17 meV per atom
- Distance to the lowest polymorph of the same formula: 63 kJ/mol of formula units
- Total magnetization: 0.00 μB per formula unit
- Density of states at the Fermi level: 6.099 states/eV/f.u.

***

The following is a DFT calculation (PBE) of a relaxed Dy2ThAg3 crystal.

Cell: 3.6011 3.6011 11.4189 Å, 90.00 90.00 90.00°
With the nearest neighbours (Å) after each atom.
Sites, in units of the cell vectors:
Dy 0.5000 0.5000 0.8393  8 Ag 3.11-3.14
Dy 0.5000 0.5000 0.1607  8 Ag 3.11-3.14
Ag 0.0000 0.0000 0.6830  4 Dy 3.11, 4 Th 3.29
Ag 0.0000 0.0000 0.0000  8 Dy 3.14
Ag 0.0000 0.0000 0.3170  4 Dy 3.11, 4 Th 3.29
Th 0.5000 0.5000 0.5000  8 Ag 3.29, 4 Th 3.60

Computed properties:
- Formation energy from the elements: -223 meV per atom
- Total magnetization: 0.00 μB per formula unit
- Density of states at the Fermi level: 4.926 states/eV/f.u.

***

The following is a DFT calculation (PBE) of a relaxed Dy4ThAg5 crystal.

Cell: 3.6112 3.6112 18.7138 Å, 90.00 90.00 90.00°
With the nearest neighbours (Å) after each atom.
Sites, in units of the cell vectors:
Ag 0.5000 0.5000 0.3033  8 Dy 3.14
Ag 0.5000 0.5000 0.1110  4 Dy 3.11, 4 Th 3.29
Ag 0.5000 0.5000 0.6967  8 Dy 3.14
Ag 0.5000 0.5000 0.8890  4 Dy 3.11, 4 Th 3.29
Ag 0.5000 0.5000 0.5000  8 Dy 3.15
Dy 0.0000 0.0000 0.2055  8 Ag 3.11-3.14
Dy 0.0000 0.0000 0.4013  8 Ag 3.14-3.15
Dy 0.0000 0.0000 0.5987  8 Ag 3.14-3.15
Dy 0.0000 0.0000 0.7945  8 Ag 3.11-3.14
Th 0.0000 0.0000 0.0000  8 Ag 3.29, 4 Th 3.61

Computed properties:
- Formation energy from the elements: -264 meV per atom
- Total magnetization: 0.00 μB per formula unit
- Density of states at the Fermi level: 6.552 states/eV/f.u.

***

The following is a DFT calculation (PBE) of a relaxed Dy2ThAg crystal.

Cell: 3.6267 3.6267 8.4112 Å, 90.00 90.00 90.00°
With the nearest neighbours (Å) after each atom.
Sites, in units of the cell vectors:
Dy 0.0000 0.0000 0.7830  4 Ag 3.15, 4 Th 3.50
Dy 0.0000 0.0000 0.2170  4 Ag 3.15, 4 Th 3.50
Ag 0.5000 0.5000 0.0000  8 Dy 3.15
Th 0.5000 0.5000 0.5000  8 Dy 3.50, 4 Th 3.63

Computed properties:
- Formation energy from the elements: -146 meV per atom
- Distance to the lowest polymorph of the same formula: 0 kJ/mol of formula units
- Total magnetization: 0.00 μB per formula unit
- Density of states at the Fermi level: 4.736 states/eV/f.u.

***

The following is a DFT calculation (PBE) of a relaxed DyTh2Ag crystal.

Cell: 3.5451 3.5451 9.3485 Å, 90.00 90.00 90.00°
With the nearest neighbours (Å) after each atom.
Sites, in units of the cell vectors:
Dy 0.5000 0.5000 0.5000  4 Dy 3.55, 8 Th 3.59
Th 0.0000 0.0000 0.7748  4 Ag 3.27, 4 Th 3.55, 4 Dy 3.59
Th 0.0000 0.0000 0.2252  4 Ag 3.27, 4 Th 3.55, 4 Dy 3.59
Ag 0.5000 0.5000 0.0000  8 Th 3.27, 4 Ag 3.55

Computed properties:
- Formation energy from the elements: 28 meV per atom
- Distance to the lowest polymorph of the same formula: 0 kJ/mol of formula units
- Total magnetization: 0.00 μB per formula unit
- Density of states at the Fermi level: 4.827 states/eV/f.u.

***

The following is a DFT calculation (PBE) of a relaxed Dy2ThTl2Ag2 crystal.

Cell: 4.9149 4.9149 9.0844 Å, 74.31 74.31 60.00°
With the nearest neighbours (Å) after each atom.
Sites, in units of the cell vectors:
Dy 0.1342 0.1342 0.5975  3 Ag 2.94
Dy 0.8658 0.8658 0.4025  3 Ag 2.94
Tl 0.7341 0.7341 0.7976  3 Ag 2.99, 3 Dy 3.32, 3 Th 3.33
Tl 0.2659 0.2659 0.2024  3 Ag 2.99, 3 Dy 3.32, 3 Th 3.33
Ag 0.5627 0.5627 0.3120  3 Dy 2.94, 3 Tl 2.99, 1 Ag 3.25
Ag 0.4373 0.4373 0.6880  3 Dy 2.94, 3 Tl 2.99, 1 Ag 3.25
Th 0.0000 0.0000 0.0000  6 Tl 3.33, 2 Dy 3.47

Computed properties:
- Formation energy from the elements: -128 meV per atom
- Total magnetization: 0.00 μB per formula unit
- Density of states at the Fermi level: 4.265 states/eV/f.u.

***

The following is a DFT calculation (PBE) of a relaxed DyThTlAg crystal.

Cell: 5.3565 5.3565 5.3565 Å, 60.00 60.00 60.00°
With the nearest neighbours (Å) after each atom.
Sites, in units of the cell vectors:
Th 0.5000 0.5000 0.5000  4 Tl 3.28, 4 Ag 3.28
Tl 0.7500 0.7500 0.7500  4 Dy 3.28, 4 Th 3.28
Dy 0.0000 0.0000 0.0000  4 Tl 3.28, 4 Ag 3.28
Ag 0.2500 0.2500 0.2500  4 Th 3.28, 4 Dy 3.28

Computed properties:
- Formation energy from the elements: -165 meV per atom
- Total magnetization: 0.89 μB per formula unit
- Density of states at the Fermi level: 3.369 states/eV/f.u.

***

The following is a DFT calculation (PBE) of a relaxed DyThZnAg crystal.

Cell: 5.1893 5.1893 5.1893 Å, 60.00 60.00 60.00°
With the nearest neighbours (Å) after each atom.
Sites, in units of the cell vectors:
Th 0.5000 0.5000 0.5000  4 Zn 3.18, 4 Ag 3.18
Zn 0.7500 0.7500 0.7500  4 Dy 3.18, 4 Th 3.18
Dy 0.0000 0.0000 0.0000  4 Zn 3.18, 4 Ag 3.18
Ag 0.2500 0.2500 0.2500  4 Th 3.18, 4 Dy 3.18

Computed properties:
- Formation energy from the elements: -173 meV per atom
- Total magnetization: 0.77 μB per formula unit
- Density of states at the Fermi level: 3.885 states/eV/f.u.

***

The following is a DFT calculation (PBE) of a relaxed Dy2TiAg crystal.

Cell: 3.4158 3.4158 8.2106 Å, 90.00 90.00 90.00°
With the nearest neighbours (Å) after each atom.
Sites, in units of the cell vectors:
Ag 0.5000 0.5000 0.0000  8 Dy 3.16, 4 Ag 3.42
Ti 0.5000 0.5000 0.5000  8 Dy 3.18, 4 Ti 3.42
Dy 0.0000 0.0000 0.2489  4 Ag 3.16, 4 Ti 3.18, 4 Dy 3.42
Dy 0.0000 0.0000 0.7511  4 Ag 3.16, 4 Ti 3.18, 4 Dy 3.42

Computed properties:
- Formation energy from the elements: -32 meV per atom
- Distance to the lowest polymorph of the same formula: 0 kJ/mol of formula units
- Total magnetization: 0.00 μB per formula unit
- Density of states at the Fermi level: 3.633 states/eV/f.u.

***

The following is a DFT calculation (PBE) of a relaxed Dy2TiAg crystal.

Cell: 3.2174 3.2174 11.1832 Å, 81.73 81.73 60.00°
With the nearest neighbours (Å) after each atom.
Sites, in units of the cell vectors:
Ti 0.0000 0.0000 0.0000  2 Dy 2.94, 6 Ti 3.22
Ag 0.5000 0.5000 0.5000  6 Dy 3.17, 6 Ag 3.22
Dy 0.9110 0.9110 0.2670  1 Ti 2.94, 3 Ag 3.17, 6 Dy 3.22
Dy 0.0890 0.0890 0.7330  1 Ti 2.94, 3 Ag 3.17, 6 Dy 3.22

Computed properties:
- Formation energy from the elements: 387 meV per atom
- Distance to the lowest polymorph of the same formula: 162 kJ/mol of formula units
- Total magnetization: 1.81 μB per formula unit
- Density of states at the Fermi level: 5.501 states/eV/f.u.

***

The following is a DFT calculation (PBE) of a relaxed Dy2TiAg crystal.

Cell: 3.6886 5.1166 5.1166 Å, 90.00 90.00 90.00°
With the nearest neighbours (Å) after each atom.
Sites, in units of the cell vectors:
Ag 0.5000 0.5000 0.5000  8 Dy 3.15
Dy 0.0000 0.5000 0.0000  4 Ti 3.15, 4 Ag 3.15
Dy 0.0000 0.0000 0.5000  4 Ti 3.15, 4 Ag 3.15
Ti 0.5000 0.0000 0.0000  8 Dy 3.15

Computed properties:
- Formation energy from the elements: 40 meV per atom
- Distance to the lowest polymorph of the same formula: 28 kJ/mol of formula units
- Total magnetization: 2.35 μB per formula unit
- Density of states at the Fermi level: 5.874 states/eV/f.u.